Entry 1:
Density functional theory data (GGA-PBE) for NaAs2PdRh after structural relaxation.

Lattice parameters (Å, degrees): 6.026 6.026 6.026 138.71 138.71 59.82
Positions (direct):
1 Na 0.000 0.000 0.000
2 As 0.375 0.375 0.000
3 As 0.625 0.625 0.000
4 Pd 0.250 0.750 0.500
5 Rh 0.750 0.250 0.500

Total magnetic moment ... 0.000 μB per atom
DFT formation energy ... -0.451 eV/atom

---

Entry 2:
Density functional theory data (GGA-PBE) for La4Pm6Dy after structural relaxation.

Lattice parameters (Å, degrees): 9.676 9.676 9.676 138.09 138.09 60.76
Positions (direct):
1 La 0.010 0.632 0.000
2 La 0.368 0.368 0.377
3 La 0.632 0.010 0.000
4 La 0.990 0.990 0.623
5 Pm 0.000 0.500 0.500
6 Pm 0.217 0.217 0.661
7 Pm 0.444 0.783 0.000
8 Pm 0.500 0.000 0.500
9 Pm 0.556 0.556 0.339
10 Pm 0.783 0.444 0.000
11 Dy 0.000 0.000 0.000

ΔE to the lowest computed polymorph ... 18 meV per atom
Total magnetic moment ... 0.000 μB per atom
DFT formation energy ... 0.268 eV/atom

---

Entry 3:
Density functional theory data (GGA-PBE) for Pa2Ni3B after structural relaxation.

Lattice parameters (Å, degrees): 8.057 7.723 5.195 74.30 67.33 38.37
Positions (direct):
1 Pa 0.238 0.762 0.762
2 Pa 0.250 0.250 0.250
3 Pa 0.750 0.750 0.750
4 Pa 0.762 0.238 0.238
5 Ni 0.179 0.179 0.821
6 Ni 0.184 0.637 0.363
7 Ni 0.363 0.816 0.184
8 Ni 0.637 0.184 0.816
9 Ni 0.816 0.363 0.637
10 Ni 0.821 0.821 0.179
11 B 0.334 0.334 0.666
12 B 0.666 0.666 0.334

Total magnetic moment ... 0.000 μB per atom
DFT formation energy ... -0.402 eV/atom

---

Entry 4:
Density functional theory data (GGA-PBE) for TeC5 after structural relaxation.

Lattice parameters (Å, degrees): 4.945 4.945 2.568 90.00 90.00 120.00
Positions (direct):
1 Te 0.000 0.000 0.000
2 C 0.000 0.500 0.500
3 C 0.333 0.667 0.000
4 C 0.500 0.000 0.500
5 C 0.500 0.500 0.500
6 C 0.667 0.333 0.000

ΔE to the lowest computed polymorph ... 2214 meV per atom
Total magnetic moment ... 0.000 μB per atom
Energy relative to the elements, uncorrected ... 77.17 kcal/mol of atoms

---

Entry 5:
Density functional theory data (GGA-PBE) for PmNdHg4 after structural relaxation.

Lattice parameters (Å, degrees): 5.773 5.773 7.962 110.19 110.19 40.33
Positions (direct):
1 Pm 0.000 0.000 0.000
2 Nd 0.000 0.000 0.500
3 Hg 0.331 0.331 0.163
4 Hg 0.331 0.331 0.667
5 Hg 0.669 0.669 0.333
6 Hg 0.669 0.669 0.837

ΔE to the lowest computed polymorph ... 0 meV per atom
Total magnetic moment ... 0.055 μB per atom
DFT formation energy ... -0.364 eV/atom

---

Entry 6:
Density functional theory data (GGA-PBE) for CoRePb after structural relaxation.

Lattice parameters (Å, degrees): 8.484 3.723 8.480 77.39 25.35 77.26
Positions (direct):
1 Co 0.108 0.892 0.108
2 Co 0.892 0.108 0.892
3 Re 0.492 0.972 0.508
4 Re 0.972 0.492 0.028
5 Pb 0.329 0.664 0.336
6 Pb 0.664 0.329 0.671

ΔE to the lowest computed polymorph ... 140 meV per atom
Total magnetic moment ... 0.201 μB per atom
DFT formation energy ... 0.451 eV/atom

---

Entry 7:
Density functional theory data (GGA-PBE) for NiSn2Au after structural relaxation.

Lattice parameters (Å, degrees): 6.087 6.087 6.087 105.68 105.68 117.36
Positions (direct):
1 Ni 0.000 0.000 0.000
2 Ni 0.750 0.250 0.500
3 Sn 0.094 0.125 0.469
4 Sn 0.375 0.906 0.031
5 Sn 0.656 0.625 0.531
6 Sn 0.875 0.344 0.969
7 Au 0.250 0.750 0.500
8 Au 0.500 0.500 0.000

ΔE to the lowest computed polymorph ... 350 meV per atom
Total magnetic moment ... 0.000 μB per atom
DFT formation energy ... 0.121 eV/atom

---

Entry 8:
Density functional theory data (GGA-PBE) for Ta2SnAs2 after structural relaxation.

Lattice parameters (Å, degrees): 7.246 7.246 7.246 149.67 149.67 43.42
Positions (direct):
1 Ta 0.109 0.109 0.000
2 Ta 0.891 0.891 0.000
3 Sn 0.500 0.500 0.000
4 As 0.250 0.750 0.500
5 As 0.750 0.250 0.500

ΔE to the lowest computed polymorph ... 200 meV per atom
Total magnetic moment ... 0.000 μB per atom
DFT formation energy ... 0.042 eV/atom

---

Entry 9:
Density functional theory data (GGA-PBE) for BaHf2B after structural relaxation.

Lattice parameters (Å, degrees): 4.803 4.803 4.803 60.00 60.00 60.00
Positions (direct):
1 Ba 0.000 0.000 0.000
2 Hf 0.250 0.250 0.250
3 Hf 0.750 0.750 0.750
4 B 0.500 0.500 0.500

ΔE to the lowest computed polymorph ... 587 meV per atom
Total magnetic moment ... 0.000 μB per atom
DFT formation energy ... 1.235 eV/atom

---

Entry 10:
Density functional theory data (GGA-PBE) for BaTc2Br after structural relaxation.

Lattice parameters (Å, degrees): 3.314 3.314 8.521 90.00 90.00 90.00
Positions (direct):
1 Ba 0.000 0.000 0.000
2 Tc 0.000 0.000 0.569
3 Tc 0.500 0.500 0.697
4 Br 0.500 0.500 0.268

ΔE to the lowest computed polymorph ... 83 meV per atom
Total magnetic moment ... 0.000 μB per atom
Energy relative to the elements, uncorrected ... 4.93 kcal/mol of atoms

---

Entry 11:
Density functional theory data (GGA-PBE) for Cu2PH2 after structural relaxation.

Lattice parameters (Å, degrees): 6.291 6.291 2.912 90.00 90.00 90.00
Positions (direct):
1 Cu 0.221 0.279 0.000
2 Cu 0.279 0.779 0.000
3 Cu 0.721 0.221 0.000
4 Cu 0.779 0.721 0.000
5 P 0.000 0.000 0.000
6 P 0.500 0.500 0.000
7 H 0.045 0.455 0.500
8 H 0.455 0.955 0.500
9 H 0.545 0.045 0.500
10 H 0.955 0.545 0.500

ΔE to the lowest computed polymorph ... 0 meV per atom
Total magnetic moment ... 0.000 μB per atom

---

Entry 12:
Density functional theory data (GGA-PBE) for Mn2AsCl after structural relaxation.

Lattice parameters (Å, degrees): 6.178 6.178 6.178 129.44 129.44 74.31
Positions (direct):
1 Mn 0.102 0.625 0.977
2 Mn 0.375 0.352 0.477
3 Mn 0.648 0.125 0.023
4 Mn 0.875 0.898 0.523
5 As 0.250 0.750 0.500
6 As 0.500 0.500 0.000
7 Cl 0.000 0.000 0.000
8 Cl 0.750 0.250 0.500

ΔE to the lowest computed polymorph ... 663 meV per atom
Total magnetic moment ... 0.000 μB per atom
Energy relative to the elements, uncorrected ... 10.72 kcal/mol of atoms

---

Entry 13:
Density functional theory data (GGA-PBE) for MgMoRu2 after structural relaxation.

Lattice parameters (Å, degrees): 9.008 9.008 9.008 18.02 18.02 18.02
Positions (direct):
1 Mg 0.000 0.000 0.000
2 Mo 0.500 0.500 0.500
3 Ru 0.247 0.247 0.247
4 Ru 0.753 0.753 0.753

Total magnetic moment ... 0.000 μB per atom
DFT formation energy ... 0.084 eV/atom

---

Entry 14:
Density functional theory data (GGA-PBE) for LaSc2F after structural relaxation.

Lattice parameters (Å, degrees): 8.617 8.617 8.617 23.12 23.12 23.12
Positions (direct):
1 La 0.000 0.000 0.000
2 Sc 0.222 0.222 0.222
3 Sc 0.778 0.778 0.778
4 F 0.500 0.500 0.500

ΔE to the lowest computed polymorph ... 0 meV per atom
Total magnetic moment ... 0.000 μB per atom
Energy relative to the elements, uncorrected ... -23.84 kcal/mol of atoms

---

Entry 15:
Density functional theory data (GGA-PBE) for Nd2Sm9Dy after structural relaxation.

Lattice parameters (Å, degrees): 5.130 5.130 15.392 90.00 90.00 90.00
Positions (direct):
1 Nd 0.000 0.000 0.168
2 Nd 0.000 0.000 0.832
3 Sm 0.000 0.500 0.000
4 Sm 0.000 0.500 0.335
5 Sm 0.000 0.500 0.665
6 Sm 0.500 0.000 0.000
7 Sm 0.500 0.000 0.335
8 Sm 0.500 0.000 0.665
9 Sm 0.500 0.500 0.168
10 Sm 0.500 0.500 0.500
11 Sm 0.500 0.500 0.832
12 Dy 0.000 0.000 0.500

Total magnetic moment ... 0.000 μB per atom
DFT formation energy ... 0.017 eV/atom

---

Entry 16:
Density functional theory data (GGA-PBE) for Pm3NdTl4Te8 after structural relaxation.

Lattice parameters (Å, degrees): 9.721 9.721 9.721 55.82 55.82 55.82
Positions (direct):
1 Pm 0.000 0.500 0.500
2 Pm 0.500 0.000 0.500
3 Pm 0.500 0.500 0.000
4 Nd 0.000 0.000 0.000
5 Tl 0.000 0.000 0.500
6 Tl 0.000 0.500 0.000
7 Tl 0.500 0.000 0.000
8 Tl 0.500 0.500 0.500
9 Te 0.241 0.241 0.738
10 Te 0.241 0.738 0.241
11 Te 0.260 0.260 0.260
12 Te 0.262 0.759 0.759
13 Te 0.738 0.241 0.241
14 Te 0.740 0.740 0.740
15 Te 0.759 0.262 0.759
16 Te 0.759 0.759 0.262

Total magnetic moment ... 0.000 μB per atom
Energy relative to the elements, uncorrected ... -24.79 kcal/mol of atoms

---

Entry 17:
Density functional theory data (GGA-PBE) for Si4AgCl after structural relaxation.

Lattice parameters (Å, degrees): 5.274 5.274 5.274 60.00 60.00 60.00
Positions (direct):
1 Si 0.124 0.124 0.124
2 Si 0.124 0.124 0.628
3 Si 0.124 0.628 0.124
4 Si 0.628 0.124 0.124
5 Ag 0.500 0.500 0.500
6 Cl 0.750 0.750 0.750

Total magnetic moment ... 0.000 μB per atom
Energy relative to the elements, uncorrected ... 11.64 kcal/mol of atoms

---

Entry 18:
Density functional theory data (GGA-PBE) for PmHo3Hg4 after structural relaxation.

Lattice parameters (Å, degrees): 7.705 7.705 5.978 107.63 107.63 40.13
Positions (direct):
1 Pm 0.000 0.000 0.000
2 Ho 0.328 0.328 0.919
3 Ho 0.500 0.500 0.500
4 Ho 0.672 0.672 0.081
5 Hg 0.112 0.112 0.639
6 Hg 0.244 0.244 0.332
7 Hg 0.756 0.756 0.668
8 Hg 0.888 0.888 0.361

ΔE to the lowest computed polymorph ... 187 meV per atom
Total magnetic moment ... 0.000 μB per atom
DFT formation energy ... -0.289 eV/atom

---

Entry 19:
Density functional theory data (GGA-PBE) for Ba2HgP after structural relaxation.

Lattice parameters (Å, degrees): 4.062 4.078 8.099 90.00 90.00 90.00
Positions (direct):
1 Ba 0.000 0.000 0.210
2 Ba 0.000 0.000 0.790
3 Hg 0.500 0.500 0.500
4 P 0.500 0.500 0.000

ΔE to the lowest computed polymorph ... 25 meV per atom
Total magnetic moment ... 0.000 μB per atom
DFT formation energy ... -0.738 eV/atom

---

Entry 20:
Density functional theory data (GGA-PBE) for NaTb2Ir after structural relaxation.

Lattice parameters (Å, degrees): 3.486 3.486 9.478 90.00 90.00 90.00
Positions (direct):
1 Na 0.000 0.000 0.000
2 Tb 0.500 0.500 0.330
3 Tb 0.500 0.500 0.670
4 Ir 0.000 0.000 0.500

ΔE to the lowest computed polymorph ... 0 meV per atom
Total magnetic moment ... 0.000 μB per atom
DFT formation energy ... -0.370 eV/atom

---

Entry 21:
Density functional theory data (GGA-PBE) for Sc4AgAu3 after structural relaxation.

Lattice parameters (Å, degrees): 8.362 8.362 8.362 33.50 33.50 33.50
Positions (direct):
1 Sc 0.123 0.123 0.123
2 Sc 0.373 0.373 0.373
3 Sc 0.627 0.627 0.627
4 Sc 0.877 0.877 0.877
5 Ag 0.500 0.500 0.500
6 Au 0.000 0.000 0.000
7 Au 0.245 0.245 0.245
8 Au 0.755 0.755 0.755

Total magnetic moment ... 0.000 μB per atom
DFT formation energy ... -0.681 eV/atom

---

Entry 22:
Density functional theory data (GGA-PBE) for U3Sb2 after structural relaxation.

Lattice parameters (Å, degrees): 5.962 5.962 6.996 90.00 90.00 99.00
Positions (direct):
1 U 0.083 0.402 0.768
2 U 0.244 0.756 0.500
3 U 0.402 0.083 0.268
4 U 0.598 0.917 0.768
5 U 0.756 0.244 0.000
6 U 0.917 0.598 0.268
7 Sb 0.090 0.910 0.911
8 Sb 0.421 0.579 0.112
9 Sb 0.579 0.421 0.612
10 Sb 0.910 0.090 0.411

Total magnetic moment ... 1.002 μB per atom
Energy relative to the elements, uncorrected ... -2.47 kcal/mol of atoms

---

Entry 23:
Density functional theory data (GGA-PBE) for K2SiAs2 after structural relaxation.

Lattice parameters (Å, degrees): 8.232 8.232 8.232 129.23 70.89 134.03
Positions (direct):
1 K 0.143 0.164 0.308
2 K 0.357 0.664 0.021
3 K 0.643 0.336 0.979
4 K 0.857 0.836 0.692
5 Si 0.250 0.750 0.500
6 Si 0.750 0.250 0.500
7 As 0.101 0.666 0.767
8 As 0.399 0.166 0.564
9 As 0.601 0.834 0.436
10 As 0.899 0.334 0.233

ΔE to the lowest computed polymorph ... 0 meV per atom
Total magnetic moment ... 0.000 μB per atom
Energy relative to the elements, uncorrected ... -10.67 kcal/mol of atoms

---

Entry 24:
Density functional theory data (GGA-PBE) for PuB2AuO8 after structural relaxation.

Lattice parameters (Å, degrees): 4.795 4.795 6.645 93.31 93.31 67.77
Positions (direct):
1 Pu 0.000 0.000 0.000
2 B 0.340 0.340 0.745
3 B 0.660 0.660 0.255
4 Au 0.000 0.000 0.500
5 O 0.226 0.675 0.771
6 O 0.233 0.233 0.923
7 O 0.249 0.249 0.553
8 O 0.325 0.774 0.229
9 O 0.675 0.226 0.771
10 O 0.751 0.751 0.447
11 O 0.767 0.767 0.077
12 O 0.774 0.325 0.229

Total magnetic moment ... 0.095 μB per atom
Energy relative to the elements, uncorrected ... -36.68 kcal/mol of atoms